Run i
AcLaY6 (PBE, optimized geometry); D(E_F) = 1.940 states/eV/atom; calculated volume = 281.4 Å³ per cell; space-group type = R-3 (148)
1.0
8.765 0.622 -0.308
4.926 8.522 0.026
4.321 3.172 3.847
Y Ac La
6 1 1
Cartesian
14.255 7.129 2.915
6.679 3.464 1.156
14.539 11.008 2.665
11.333 8.852 2.408
3.474 1.308 0.900
3.757 5.186 0.649
9.006 6.158 1.782
0.000 0.000 0.000


Run ii
AcLaY6 (PBE, optimized geometry); D(E_F) = 2.209 states/eV/atom; calculated volume = 304.8 Å³ per cell; space-group type = C2/m (12)
1.0
-3.495 1.223 -4.801
-2.102 -5.181 -2.346
-8.183 -0.326 3.792
Y Ac La
6 1 1
Cartesian
-3.700 -2.763 -0.323
-10.080 -1.521 -3.032
-4.144 -2.489 -4.141
-4.368 0.309 -1.501
-9.412 -4.593 -1.854
-9.636 -1.794 0.786
0.000 0.000 0.000
-6.890 -2.142 -1.678


Computed relative energies in units of meV per atom: run i 0; run ii 256


Run i
Ac12La7Y (PBE, optimized geometry); D(E_F) = 1.683 states/eV/atom; calculated volume = 923.7 Å³ per cell; space-group type = Im-3 (204)
1.0
-6.185 -8.404 -2.008
-5.621 7.376 5.189
3.556 4.050 -9.158
Ac La Y
12 7 1
Cartesian
-7.121 1.924 -2.142
-4.509 4.172 -4.612
-5.328 0.115 -5.532
-2.922 2.907 -0.445
-3.862 8.108 -2.252
-3.741 -1.150 -1.365
0.865 4.640 -6.060
-4.388 -5.086 -3.725
-1.129 1.097 -3.835
-5.924 3.906 2.941
-2.326 -0.885 -8.918
-9.116 -1.619 0.083
-1.033 5.713 -1.985
-2.810 3.688 2.595
1.778 2.025 -4.579
-3.093 -4.202 -1.004
-1.315 -2.177 -5.583
-5.903 -0.514 1.591
-4.125 1.511 -2.988
0.000 0.000 0.000


Run ii
Ac12La7Y (PBE, optimized geometry); D(E_F) = 1.705 states/eV/atom; calculated volume = 837.8 Å³ per cell; space-group type = R-3 (148)
1.0
10.029 -0.085 -0.128
-2.871 9.609 -0.128
-2.871 -3.820 8.818
Ac La Y
12 7 1
Cartesian
5.109 0.661 5.296
5.073 2.778 1.823
5.731 4.458 5.115
3.030 6.196 2.650
1.257 -0.492 5.912
-0.786 2.927 6.739
1.598 3.582 0.368
2.689 2.123 8.194
-1.444 1.246 3.447
2.996 -0.636 2.478
-0.822 5.044 3.265
1.291 6.340 6.084
7.736 -1.722 5.860
2.144 2.852 4.281
3.680 9.119 0.667
-3.806 2.730 8.673
8.093 2.975 -0.111
-3.449 7.427 2.702
0.607 -3.415 7.894
0.000 0.000 0.000


Computed relative energies in units of meV per atom: run i 473; run ii 0


Run i
Ac2La3Y (PBE, optimized geometry); D(E_F) = 1.950 states/eV/atom; calculated volume = 465.7 Å³ per cell; space-group type = Cmmm (65)
1.0
3.734 0.000 -1.236
-1.976 10.885 -5.973
1.683 -0.730 11.345
Y Ac La
2 4 6
Cartesian
0.000 0.000 0.000
-0.988 5.443 -2.987
0.753 8.651 2.284
1.747 3.208 5.269
1.694 6.947 -1.132
2.688 1.504 1.852
4.072 0.427 6.047
0.356 4.286 1.076
-0.632 9.728 -1.910
3.084 5.870 3.060
1.373 2.721 -2.111
0.385 8.164 -5.098


Run ii
Ac2La3Y (PBE, optimized geometry); D(E_F) = 1.545 states/eV/atom; calculated volume = 462.7 Å³ per cell; space-group type = Pnnm (58)
1.0
6.012 0.000 0.000
0.000 10.500 0.000
0.000 0.000 7.330
Y La Ac
2 6 4
Cartesian
3.006 5.250 0.000
0.000 0.000 3.665
3.006 5.250 3.665
3.006 1.740 1.841
0.000 0.000 0.000
3.006 8.759 5.489
0.000 6.990 1.824
0.000 3.509 5.505
0.000 7.006 5.510
3.006 8.744 1.846
3.006 1.756 5.484
0.000 3.494 1.819


Computed relative energies in units of meV per atom: run i 33; run ii 0


Run i
AcLa2Y (PBE, optimized geometry); D(E_F) = 1.956 states/eV/atom; calculated volume = 151.1 Å³ per cell; space-group type = P4/mmm (123)
1.0
3.799 0.000 0.000
0.000 3.799 0.000
0.000 0.000 10.472
La Y Ac
2 1 1
Cartesian
0.000 0.000 2.488
0.000 0.000 7.984
1.900 1.900 0.000
1.900 1.900 5.236


Run ii
AcLa2Y (PBE, optimized geometry); D(E_F) = 1.319 states/eV/atom; calculated volume = 149.3 Å³ per cell; space-group type = P4/mmm (123)
1.0
5.329 0.000 0.000
0.000 5.292 0.000
0.000 0.000 5.292
La Ac Y
2 1 1
Cartesian
0.000 2.646 0.000
0.000 0.000 2.646
2.665 2.646 2.646
2.665 0.000 0.000


Computed relative energies in units of meV per atom: run i 17; run ii 0